Material: NaF
Method: DFT, meta-GGA SCAN
State: single point on PBEsol structure

Output
Formation energy (no corrections) in meV per atom: -2921

Cell: 4.6194 4.6194 4.6194 Å, 90.00 90.00 90.00°
Space group Fm-3m (No. 225)
Symmetry-distinct sites (fractional):
Na 0.0000 0.0000 0.0000 (multiplicity 4)
F 0.0000 0.0000 0.5000 (multiplicity 4)